# Ni2IrPb2

A geometry-optimized Ni2IrPb2 structure (PBEsol, Alexandria).

abc: 8.1898 8.1898 8.1898
angles: 156.74 156.74 33.13
With the nearest neighbours (Å) after each atom.
Positions (direct):
Ni 0.2500 0.7500 0.5000  4 Ni 2.34
Ni 0.7500 0.2500 0.5000  4 Ni 2.34
Ir 0.0000 0.0000 0.0000  8 Pb 2.91
Pb 0.3891 0.3891 0.0000  4 Ni 2.74, 4 Ir 2.91
Pb 0.6109 0.6109 0.0000  4 Ni 2.74, 4 Ir 2.91

Properties
DFT formation energy, meV per atom: 435
Total magnetization, μB/cell: 0.02
VASP energy, eV/atom: -5.592